Entry from the Alexandria database: crystalline Pm8Tl2Rh3 at its relaxed geometry (PBE-GGA).

The calculation puts the density of states at the Fermi level at 12.8 states/eV/f.u. The total energy comes out at -5.36 eV per atom.

It has space group P2/m (No. 10), with a = 9.0916 Å, b = 5.0237 Å, c = 9.1001 Å, α = 90.00°, β = 112.29° and γ = 90.00°. The inequivalent atoms are Pm at (0.1104, 0.0000, 0.3893), Pm at (0.1425, 0.5000, 0.8681), Pm at (0.3680, 0.5000, 0.6428), Pm at (0.3864, 0.0000, 0.1138), Tl at (0.2432, 0.5000, 0.2576), Rh at (0.2475, 0.0000, 0.7477) and Rh at (0.5000, 0.5000, 0.0000).


Entry from the Alexandria database: crystalline K3CaPb at its relaxed geometry (PBE-GGA).

The calculation puts the density of states at the Fermi level at 3.8 states/eV/f.u. The energy above the lowest structure with this stoichiometry is 413 meV/atom.

It has space group Pm-3m (No. 221), with a = 7.0696 Å, b = 7.0696 Å, c = 7.0696 Å, α = 90.00°, β = 90.00° and γ = 90.00°. The inequivalent atoms are K at (0.0000, 0.0000, 0.5000), Ca at (0.0000, 0.0000, 0.0000) and Pb at (0.5000, 0.5000, 0.5000).


Entry from the Alexandria database: crystalline SrTb3Sm2Se6 at its relaxed geometry (PBE-GGA).

The calculation puts the density of states at the Fermi level at 5.2 states/eV/f.u. The uncorrected formation energy is -1.824 eV/atom.

It has space group C2/m (No. 12), with a = 18.2072 Å, b = 4.1471 Å, c = 8.4063 Å, α = 90.00°, β = 103.73° and γ = 90.00°. The inequivalent atoms are Sr at (0.0000, 0.0000, 0.0000), Tb at (0.0000, 0.0000, 0.5000), Tb at (0.1667, 0.5000, 0.8250), Sm at (0.1716, 0.5000, 0.3439), Se at (0.0003, 0.5000, 0.2606), Se at (0.1628, 0.0000, 0.5867) and Se at (0.1705, 0.0000, 0.0794).


Entry from the Alexandria database: crystalline TcAg3Hg at its relaxed geometry (PBE-GGA).

The calculation puts the density of states at the Fermi level at 2.9 states/eV/f.u. The energy above the lowest structure with this stoichiometry is 0 meV/atom.

It has space group Pm-3m (No. 221), with a = 5.2121 Å, b = 5.2121 Å, c = 5.2121 Å, α = 90.00°, β = 90.00° and γ = 90.00°. The inequivalent atoms are Tc at (0.0000, 0.0000, 0.0000), Ag at (0.0000, 0.0000, 0.5000) and Hg at (0.5000, 0.5000, 0.5000).


Entry from the Alexandria database: crystalline Ta2InRh at its relaxed geometry (PBE-GGA).

The calculation puts the density of states at the Fermi level at 5.2 states/eV/f.u. The total energy comes out at -8.36 eV per atom.

It has space group P4/mmm (No. 123), with a = 3.5404 Å, b = 3.5404 Å, c = 5.7489 Å, α = 90.00°, β = 90.00° and γ = 90.00°. The inequivalent atoms are Ta at (0.0000, 0.0000, 0.2275), In at (0.5000, 0.5000, 0.5000) and Rh at (0.5000, 0.5000, 0.0000).


Entry from the Alexandria database: crystalline La3Pr4Dy2 at its relaxed geometry (PBE-GGA).

The calculation puts the density of states at the Fermi level at 14.6 states/eV/f.u. The energy above the lowest structure with this stoichiometry is 0 meV/atom.

It has space group C2/m (No. 12), with a = 16.1047 Å, b = 3.6947 Å, c = 11.0351 Å, α = 90.00°, β = 103.79° and γ = 90.00°. The inequivalent atoms are La at (0.0000, 0.0000, 0.0000), La at (0.1686, 0.5000, 0.5554), Pr at (0.0010, 0.0000, 0.3314), Pr at (0.1677, 0.5000, 0.8894) and Dy at (0.1668, 0.5000, 0.2217).


Copy entry 1 word for word.
Entry from the Alexandria database: crystalline Pm8Tl2Rh3 at its relaxed geometry (PBE-GGA).

The calculation puts the density of states at the Fermi level at 12.8 states/eV/f.u. The total energy comes out at -5.36 eV per atom.

It has space group P2/m (No. 10), with a = 9.0916 Å, b = 5.0237 Å, c = 9.1001 Å, α = 90.00°, β = 112.29° and γ = 90.00°. The inequivalent atoms are Pm at (0.1104, 0.0000, 0.3893), Pm at (0.1425, 0.5000, 0.8681), Pm at (0.3680, 0.5000, 0.6428), Pm at (0.3864, 0.0000, 0.1138), Tl at (0.2432, 0.5000, 0.2576), Rh at (0.2475, 0.0000, 0.7477) and Rh at (0.5000, 0.5000, 0.0000).